Material: SrGaS3
Method: DFT, GGA-PBE
State: optimized geometry

The space group is Pm-3m (No. 221) and the conventional cell measures 4.806, 4.806 and 4.806 Å, with angles of 90.00, 90.00 and 90.00 degrees. The distinct sites, in fractional coordinates, are Sr at (0.000, 0.000, 0.000), Ga at (0.500, 0.500, 0.500) and S at (0.000, 0.500, 0.500).

The calculation puts the density at 3.792 g cm⁻³. Its total DFT energy (no corrections) is -21.1 eV for the cell shown. For the raw formation energy, the calculation gives -0.81 eV/atom.